1.
AlTc4Mo | PBE-GGA | optimized geometry

Results
Space group: No. 216
E_form in eV/atom: 0.131
Total moment in Bohr magnetons per cell: 0.000
Crystal system: cubic
N(E_F) in states/eV per atom: 0.77

abc: 5.092 5.092 5.092
angles: 60.00 60.00 60.00
Fractional positions:
Al1 0.000 0.000 0.000
Tc1 0.374 0.374 0.374
Tc2 0.374 0.374 0.878
Tc3 0.374 0.878 0.374
Tc4 0.878 0.374 0.374
Mo1 0.750 0.750 0.750

2.
Cs4NaAg3F12 | PBE-GGA | optimized geometry

Results
Space group: No. 229
Total moment in Bohr magnetons per cell: 0.000
Crystal system: cubic
ΔE_f (raw) in eV/atom: -2.016
N(E_F) in states/eV per atom: 0.27

abc: 7.802 7.802 7.802
angles: 109.47 109.47 109.47
Fractional positions:
Cs1 0.000 0.000 0.500
Cs2 0.000 0.500 0.000
Cs3 0.500 0.000 0.000
Cs4 0.500 0.500 0.500
Na1 0.000 0.000 0.000
Ag1 0.000 0.500 0.500
Ag2 0.500 0.000 0.500
Ag3 0.500 0.500 0.000
F1 0.000 0.265 0.265
F2 0.000 0.735 0.735
F3 0.250 0.500 0.750
F4 0.250 0.750 0.500
F5 0.265 0.000 0.265
F6 0.265 0.265 0.000
F7 0.500 0.250 0.750
F8 0.500 0.750 0.250
F9 0.735 0.000 0.735
F10 0.735 0.735 0.000
F11 0.750 0.250 0.500
F12 0.750 0.500 0.250

3.
V4Ir2W | PBE-GGA | optimized geometry

Results
Space group: No. 139
E_form in eV/atom: 1.004
Total moment in Bohr magnetons per cell: 3.978
Crystal system: tetragonal
N(E_F) in states/eV per atom: 1.46

abc: 7.037 7.037 7.037
angles: 142.61 142.61 53.91
Fractional positions:
V1 0.000 0.500 0.500
V2 0.198 0.198 0.000
V3 0.500 0.000 0.500
V4 0.802 0.802 0.000
Ir1 0.388 0.388 0.000
Ir2 0.612 0.612 0.000
W1 0.000 0.000 0.000

4.
BeReIr | PBE-GGA | optimized geometry

Results
Space group: No. 194
E_form in eV/atom: 0.336
Total moment in Bohr magnetons per cell: 0.000
Crystal system: hexagonal
N(E_F) in states/eV per atom: 0.85

abc: 4.292 4.292 5.291
angles: 90.00 90.00 120.00
Fractional positions:
Be1 0.000 0.000 0.000
Be2 0.000 0.000 0.500
Re1 0.333 0.667 0.250
Re2 0.667 0.333 0.750
Ir1 0.333 0.667 0.750
Ir2 0.667 0.333 0.250

Copy entry 2 word for word.
Cs4NaAg3F12 | PBE-GGA | optimized geometry

Results
Space group: No. 229
Total moment in Bohr magnetons per cell: 0.000
Crystal system: cubic
ΔE_f (raw) in eV/atom: -2.016
N(E_F) in states/eV per atom: 0.27

abc: 7.802 7.802 7.802
angles: 109.47 109.47 109.47
Fractional positions:
Cs1 0.000 0.000 0.500
Cs2 0.000 0.500 0.000
Cs3 0.500 0.000 0.000
Cs4 0.500 0.500 0.500
Na1 0.000 0.000 0.000
Ag1 0.000 0.500 0.500
Ag2 0.500 0.000 0.500
Ag3 0.500 0.500 0.000
F1 0.000 0.265 0.265
F2 0.000 0.735 0.735
F3 0.250 0.500 0.750
F4 0.250 0.750 0.500
F5 0.265 0.000 0.265
F6 0.265 0.265 0.000
F7 0.500 0.250 0.750
F8 0.500 0.750 0.250
F9 0.735 0.000 0.735
F10 0.735 0.735 0.000
F11 0.750 0.250 0.500
F12 0.750 0.500 0.250

Which formula does entry 2 have?
Cs4NaAg3F12